[1]
This record from the Alexandria database describes Sr2MoIr after structural relaxation. The functional is PBE.

Values from the calculation:
Polymorph energy (0 for the lowest one), meV/atom: 510
VASP energy, eV for the cell shown: -19.9
V, Å³/f.u.: 94
D(E_F), states/eV per atom: 1.278
E_form, eV/atom: 0.794
ρ, g/cm³: 8.21

```
4
Lattice="-2.6793 1.5719 -0.3273 -1.3674 -1.9053 2.0632 2.5785 5.8818 7.1404" Properties=species:S:1:pos:R:3 pbc="T T T"
Sr 0.0691 0.1576 0.1914
Ir -1.3787 1.3038 2.6531
Sr 1.2201 2.7833 3.3788
Mo -0.0895 4.2447 6.2233
```

---

[2]
This record from the Alexandria database describes SrMoIr2 after structural relaxation. The functional is PBE.

Values from the calculation:
Polymorph energy (0 for the lowest one), meV/atom: 398
VASP energy, eV for the cell shown: -28.5
V, Å³/f.u.: 71
D(E_F), states/eV per atom: 1.101
E_form, eV/atom: 0.423
ρ, g/cm³: 13.25

```
4
Lattice="9.6590 -0.0505 -0.0296 9.2267 2.8577 -0.0296 9.2267 1.3715 2.5073" Properties=species:S:1:pos:R:3 pbc="T T T"
Ir 14.3358 2.1309 1.2484
Mo 7.0281 1.0447 0.6120
Sr 21.0843 3.1340 1.8360
Ir 27.8329 4.1371 2.4237
```

---

[3]
This record from the Alexandria database describes SrMoIr2 after structural relaxation. The functional is PBE.

Values from the calculation:
Polymorph energy (0 for the lowest one), meV/atom: 652
VASP energy, eV for the cell shown: -27.5
V, Å³/f.u.: 73
D(E_F), states/eV per atom: 1.060
E_form, eV/atom: 0.677
ρ, g/cm³: 12.96

```
4
Lattice="5.2544 0.0140 0.0000 2.0906 4.8206 0.0000 -3.6725 -2.4173 2.8772" Properties=species:S:1:pos:R:3 pbc="T T T"
Sr 2.6272 0.0070 1.4386
Mo 3.6725 2.4173 0.0000
Ir 1.0453 2.4103 1.4386
Ir 0.0000 0.0000 0.0000
```

---

[4]
This record from the Alexandria database describes SrMoIr2 after structural relaxation. The functional is PBE.

Values from the calculation:
Polymorph energy (0 for the lowest one), meV/atom: 328
VASP energy, eV for the cell shown: -28.8
V, Å³/f.u.: 80
D(E_F), states/eV per atom: 1.013
E_form, eV/atom: 0.353
ρ, g/cm³: 11.86

```
4
Lattice="-2.5555 -0.8028 0.8465 1.2640 -3.8421 0.1722 1.9150 0.9287 6.6623" Properties=species:S:1:pos:R:3 pbc="T T T"
Mo 0.7835 0.3800 2.7258
Sr 0.8356 -1.6041 5.6628
Ir 0.1019 0.0494 0.3546
Ir -0.1400 -2.0772 2.2689
```

---

[5]
This record from the Alexandria database describes SrMo2Ir after structural relaxation. The functional is PBE.

Values from the calculation:
Polymorph energy (0 for the lowest one), meV/atom: 103
VASP energy, eV for the cell shown: -30.2
V, Å³/f.u.: 86
D(E_F), states/eV per atom: 0.847
E_form, eV/atom: 0.493
ρ, g/cm³: 9.09

```
4
Lattice="-2.4666 0.8471 4.2426 -2.4631 -2.1800 3.7392 4.2778 -0.7115 4.3075" Properties=species:S:1:pos:R:3 pbc="T T T"
Ir 0.0013 -1.5587 9.3728
Mo -0.7915 -0.4875 2.9259
Sr -0.2166 -1.0226 6.1475
Mo -4.9007 -1.3309 7.9695
```

---

[6]
This record from the Alexandria database describes SrMoIr2 after structural relaxation. The functional is PBE.

Values from the calculation:
Polymorph energy (0 for the lowest one), meV/atom: 472
VASP energy, eV for the cell shown: -28.2
V, Å³/f.u.: 75
D(E_F), states/eV per atom: 1.502
E_form, eV/atom: 0.497
ρ, g/cm³: 12.57

```
4
Lattice="2.9087 0.0034 0.0000 -0.0034 2.9087 0.0000 0.0000 0.0000 8.8717" Properties=species:S:1:pos:R:3 pbc="T T T"
Ir 1.4526 1.4560 2.2263
Mo 0.0000 0.0000 3.9052
Ir 0.0000 0.0000 0.3251
Sr 1.4526 1.4560 6.8509
```

---

[7]
This record from the Alexandria database describes SrMo2Ir after structural relaxation. The functional is PBE.

Values from the calculation:
Polymorph energy (0 for the lowest one), meV/atom: 470
VASP energy, eV for the cell shown: -28.8
V, Å³/f.u.: 74
D(E_F), states/eV per atom: 0.820
E_form, eV/atom: 0.860
ρ, g/cm³: 10.65

```
4
Lattice="5.5712 0.0092 0.0000 -2.9098 4.7509 0.0000 0.0000 0.0000 2.7769" Properties=species:S:1:pos:R:3 pbc="T T T"
Sr 2.7856 0.0046 1.3884
Mo 0.0000 0.0000 0.0000
Mo 1.3307 2.3801 0.0000
Ir -1.4549 2.3755 1.3884
```

---

[8]
This record from the Alexandria database describes SrMoIr2 after structural relaxation. The functional is PBE.

Values from the calculation:
Polymorph energy (0 for the lowest one), meV/atom: 401
VASP energy, eV for the cell shown: -28.5
V, Å³/f.u.: 73
D(E_F), states/eV per atom: 1.150
E_form, eV/atom: 0.426
ρ, g/cm³: 12.99

```
4
Lattice="-0.2169 -4.9537 -0.7207 4.2917 0.1873 -2.5790 1.4876 -0.4209 2.4450" Properties=species:S:1:pos:R:3 pbc="T T T"
Ir 2.0374 -2.3832 -1.6499
Ir 0.0000 0.0000 0.0000
Mo 0.6354 -2.6873 0.8622
Sr 2.8897 -0.1168 -0.0670
```

---

[9]
This record from the Alexandria database describes SrMo2Ir after structural relaxation. The functional is PBE.

Values from the calculation:
Polymorph energy (0 for the lowest one), meV/atom: 494
VASP energy, eV for the cell shown: -57.3
V, Å³/f.u.: 88
D(E_F), states/eV per atom: 1.662
E_form, eV/atom: 0.885
ρ, g/cm³: 8.93

```
8
Lattice="-7.2798 2.8360 0.2418 -1.1786 -2.3991 -7.3452 -5.1813 -2.3090 -2.5734" Properties=species:S:1:pos:R:3 pbc="T T T"
Mo -6.9745 -1.3982 -4.0743
Ir -8.3452 0.3727 -2.9416
Mo -11.3705 -1.5192 -8.6651
Mo -6.5075 1.0960 -1.3933
Sr -5.2946 -2.2448 -6.7352
Mo -2.4270 -1.9228 -5.2210
Sr -4.2292 0.2184 -3.5517
Ir 0.0000 0.0000 0.0000
```

---

[10]
This record from the Alexandria database describes SrMoIr2 after structural relaxation. The functional is PBE.

Values from the calculation:
Polymorph energy (0 for the lowest one), meV/atom: 0
VASP energy, eV for the cell shown: -30.1
V, Å³/f.u.: 74
D(E_F), states/eV per atom: 0.922
E_form, eV/atom: 0.025
ρ, g/cm³: 12.78

```
4
Lattice="-0.4673 2.9431 0.4933 -2.9612 -0.5064 0.2165 -2.1663 -1.7182 8.1980" Properties=species:S:1:pos:R:3 pbc="T T T"
Sr -4.0793 -0.1969 6.5576
Ir -2.9223 -0.5651 0.6032
Mo -1.5155 0.9154 2.3503
Ir -2.6027 -1.0537 3.8205
```

---

[11]
This record from the Alexandria database describes Sr2MoIr after structural relaxation. The functional is PBE.

Values from the calculation:
Polymorph energy (0 for the lowest one), meV/atom: 41
VASP energy, eV for the cell shown: -21.8
V, Å³/f.u.: 115
D(E_F), states/eV per atom: 1.084
E_form, eV/atom: 0.326
ρ, g/cm³: 6.72

```
4
Lattice="-1.3139 -4.1793 -4.6527 4.4511 -4.3687 -1.3938 -3.6924 2.3331 4.6651" Properties=species:S:1:pos:R:3 pbc="T T T"
Ir 1.7514 -4.7719 -3.3754
Sr 1.2289 -3.3326 -0.0017
Sr 3.1049 -8.4597 -5.9840
Mo -1.9344 -2.4726 -1.0899
```

---

[12]
This record from the Alexandria database describes SrMo2Ir after structural relaxation. The functional is PBE.

Values from the calculation:
Polymorph energy (0 for the lowest one), meV/atom: 316
VASP energy, eV for the cell shown: -29.4
V, Å³/f.u.: 74
D(E_F), states/eV per atom: 0.660
E_form, eV/atom: 0.707
ρ, g/cm³: 10.63

```
4
Lattice="-7.4127 0.6470 -6.9947 -5.5219 -0.9297 -8.5403 -7.3606 -2.2458 -6.7135" Properties=species:S:1:pos:R:3 pbc="T T T"
Mo -5.2653 -0.6560 -5.7720
Mo -0.0868 -0.0108 -0.0952
Ir -15.0095 -1.8699 -16.4541
Sr -10.0813 -1.2560 -11.0516
```